[1]
DFT (PBE) results for an optimized crystal structure of HRuAu3.

Values from the calculation:
* ΔE to the lowest computed polymorph: 0.0 meV/atom
* ρ: 16.05 g cm⁻³
* uncorrected energy: -19.489 eV per cell
* volume: 14.336 A^3/atom
* total moment: 0.5 Bohr magnetons per cell

Cell: 4.154 4.154 4.154 Å, 90.00 90.00 90.00°
Site moments in Bohr magnetons follow the coordinates.
Element x y z (fractional)
1 Au 0.500 0.000 0.000  0.00
2 Au 0.000 0.500 0.000  -0.01
3 Au 0.000 0.000 0.500  0.00
4 Ru 0.500 0.500 0.500  0.52
5 H 0.000 0.000 0.000  0.00

[2]
DFT (PBE) results for an optimized crystal structure of HRuAu.

Values from the calculation:
* ΔE to the lowest computed polymorph: 177.8 meV/atom
* ρ: 14.31 g cm⁻³
* uncorrected energy: -14.834 eV per cell
* volume: 11.566 A^3/atom
* total moment: 1.2 Bohr magnetons per cell

Cell: 2.811 2.811 4.391 Å, 90.00 90.00 90.00°
Site moments in Bohr magnetons follow the coordinates.
Element x y z (fractional)
1 Ru 0.500 0.500 0.500  1.14
2 H 0.000 0.000 0.500  -0.01
3 Au 0.000 0.000 0.000  0.07

[3]
DFT (PBE) results for an optimized crystal structure of H2RuAu.

Values from the calculation:
* ΔE to the lowest computed polymorph: 0.0 meV/atom
* ρ: 12.69 g cm⁻³
* uncorrected energy: -18.369 eV per cell
* volume: 9.814 A^3/atom
* total moment: 0.0 Bohr magnetons per cell

Cell: 2.849 2.849 5.821 Å, 75.83 75.83 60.00°
Element x y z (fractional)
1 Au 0.496 0.496 0.513
2 H 0.052 0.052 0.845
3 H 0.284 0.284 0.148
4 Ru 0.669 0.669 0.994

[4]
DFT (PBE) results for an optimized crystal structure of HRuAu.

Values from the calculation:
* ΔE to the lowest computed polymorph: 0.0 meV/atom
* ρ: 14.09 g cm⁻³
* uncorrected energy: -30.734 eV per cell
* volume: 11.751 A^3/atom
* total moment: 0.0 Bohr magnetons per cell

Cell: 2.861 2.861 10.955 Å, 105.91 114.32 60.00°
Element x y z (fractional)
1 H 0.370 0.039 0.529
2 H 0.563 0.836 0.905
3 Ru 0.774 0.136 0.816
4 Ru 0.813 0.399 0.608
5 Au 0.794 0.640 0.346
6 Au 0.823 0.902 0.096

[5]
DFT (PBE) results for an optimized crystal structure of HRuAu2.

Values from the calculation:
* ΔE to the lowest computed polymorph: 0.0 meV/atom
* ρ: 14.98 g cm⁻³
* uncorrected energy: -33.006 eV per cell
* volume: 13.748 A^3/atom
* total moment: 0.0 Bohr magnetons per cell

Cell: 6.329 6.329 5.250 Å, 52.94 52.94 90.00°
Element x y z (fractional)
1 Au 0.875 0.782 0.750
2 Au 0.532 0.125 0.250
3 Au 0.375 0.468 0.750
4 Au 0.218 0.625 0.250
5 Ru 0.750 0.250 0.500
6 Ru 0.000 0.000 0.000
7 H 0.500 0.500 0.000
8 H 0.250 0.750 0.500

[6]
DFT (PBE) results for an optimized crystal structure of HRuAu.

Values from the calculation:
* ΔE to the lowest computed polymorph: 134.4 meV/atom
* ρ: 14.03 g cm⁻³
* uncorrected energy: -29.928 eV per cell
* volume: 11.796 A^3/atom
* total moment: 1.1 Bohr magnetons per cell

Cell: 4.980 2.837 5.060 Å, 90.00 98.11 90.00°
Site moments in Bohr magnetons follow the coordinates.
Element x y z (fractional)
1 H 0.510 0.000 0.903  -0.01
2 H 0.510 0.500 0.403  -0.01
3 Ru 0.657 0.500 0.744  0.51
4 Ru 0.657 0.000 0.244  0.51
5 Au 0.129 0.500 0.156  0.03
6 Au 0.129 0.000 0.656  0.03